ZrInCuSe3, optimized geometry, DFT PBE; E_tot = -4.944 eV/atom; magnetization = 0.000 μB/atom
1.0
8.702 -1.897 0.000
8.702 1.897 0.000
-1.394 0.000 8.413
Zr In Cu Se
2 2 2 6
Direct
0.164 0.164 0.084
0.836 0.836 0.916
0.127 0.127 0.572
0.873 0.873 0.428
0.456 0.456 0.790
0.544 0.544 0.210
0.000 0.000 0.000
0.319 0.319 0.688
0.324 0.324 0.139
0.500 0.500 0.500
0.676 0.676 0.861
0.681 0.681 0.312

=====

KRbHg2Sb2, optimized geometry, DFT PBE; E_tot = -2.191 eV/atom
1.0
4.910 0.000 0.000
-2.455 4.252 0.000
0.000 0.000 10.801
K Rb Hg Sb
1 1 2 2
Direct
0.000 0.000 0.000
0.000 0.000 0.500
0.333 0.667 0.756
0.667 0.333 0.244
0.333 0.667 0.245
0.667 0.333 0.755